(1)
# Y2VAs PBE relaxed
data_Y2VAs
_symmetry_space_group_name_H-M 'P 1'
_symmetry_Int_Tables_number 1
_symmetry_space_group_name_Hall 'P 1'
_cell_length_a 6.494
_cell_length_b 6.494
_cell_length_c 6.494
_cell_angle_alpha 105.46
_cell_angle_beta 105.46
_cell_angle_gamma 117.82
loop_
_atom_site_label
_atom_site_type_symbol
_atom_site_fract_x
_atom_site_fract_y
_atom_site_fract_z
Y1 Y 0.104 0.625 0.979
Y2 Y 0.375 0.354 0.479
Y3 Y 0.646 0.125 0.021
Y4 Y 0.875 0.896 0.521
V1 V 0.250 0.750 0.500
V2 V 0.500 0.500 0.000
As1 As 0.000 0.000 0.000
As2 As 0.750 0.250 0.500
# D(E_F) (states/eV/atom): 0.997
# Theoretical density (g/cm³): 4.86
# Crystal system: tetragonal
# Calculated formation energy (meV per atom): 67

=====

(2)
# YVZnAs2 PBE relaxed
data_YVZnAs2
_symmetry_space_group_name_H-M 'P 1'
_symmetry_Int_Tables_number 1
_symmetry_space_group_name_Hall 'P 1'
_cell_length_a 4.706
_cell_length_b 4.706
_cell_length_c 5.303
_cell_angle_alpha 90.00
_cell_angle_beta 90.00
_cell_angle_gamma 90.00
loop_
_atom_site_label
_atom_site_type_symbol
_atom_site_fract_x
_atom_site_fract_y
_atom_site_fract_z
Y1 Y 0.000 0.000 0.000
V1 V 0.000 0.000 0.500
Zn1 Zn 0.500 0.500 0.000
As1 As 0.000 0.500 0.500
As2 As 0.500 0.000 0.500
# D(E_F) (states/eV/atom): 0.920
# Theoretical density (g/cm³): 5.02
# Crystal system: tetragonal
# Calculated formation energy (meV per atom): 104

=====

(3)
# VZn3As PBE relaxed
data_VZn3As
_symmetry_space_group_name_H-M 'P 1'
_symmetry_Int_Tables_number 1
_symmetry_space_group_name_Hall 'P 1'
_cell_length_a 4.874
_cell_length_b 4.874
_cell_length_c 4.874
_cell_angle_alpha 90.00
_cell_angle_beta 90.00
_cell_angle_gamma 90.00
loop_
_atom_site_label
_atom_site_type_symbol
_atom_site_fract_x
_atom_site_fract_y
_atom_site_fract_z
V1 V 0.000 0.000 0.000
Zn1 Zn 0.000 0.000 0.500
Zn2 Zn 0.000 0.500 0.000
Zn3 Zn 0.500 0.000 0.000
As1 As 0.500 0.500 0.500
# D(E_F) (states/eV/atom): 0.749
# Theoretical density (g/cm³): 4.62
# Crystal system: cubic
# Calculated formation energy (meV per atom): 1011

=====

(4)
# V3ZnAs PBE relaxed
data_V3ZnAs
_symmetry_space_group_name_H-M 'P 1'
_symmetry_Int_Tables_number 1
_symmetry_space_group_name_Hall 'P 1'
_cell_length_a 4.536
_cell_length_b 4.536
_cell_length_c 4.536
_cell_angle_alpha 90.00
_cell_angle_beta 90.00
_cell_angle_gamma 90.00
loop_
_atom_site_label
_atom_site_type_symbol
_atom_site_fract_x
_atom_site_fract_y
_atom_site_fract_z
V1 V 0.000 0.000 0.500
V2 V 0.000 0.500 0.000
V3 V 0.500 0.000 0.000
Zn1 Zn 0.500 0.500 0.500
As1 As 0.000 0.000 0.000
# D(E_F) (states/eV/atom): 1.208
# Energy above the most stable polymorph in this dataset (eV/f.u.): 0.00
# Theoretical density (g/cm³): 5.22
# Crystal system: cubic
# Calculated formation energy (meV per atom): 700

=====

(5)
# ZrVAs2 PBE relaxed
data_ZrVAs2
_symmetry_space_group_name_H-M 'P 1'
_symmetry_Int_Tables_number 1
_symmetry_space_group_name_Hall 'P 1'
_cell_length_a 6.249
_cell_length_b 6.249
_cell_length_c 6.249
_cell_angle_alpha 35.86
_cell_angle_beta 35.86
_cell_angle_gamma 35.86
loop_
_atom_site_label
_atom_site_type_symbol
_atom_site_fract_x
_atom_site_fract_y
_atom_site_fract_z
Zr1 Zr 0.000 0.000 0.000
V1 V 0.500 0.500 0.500
As1 As 0.242 0.242 0.242
As2 As 0.758 0.758 0.758
# D(E_F) (states/eV/atom): 1.056
# Energy above the most stable polymorph in this dataset (eV/f.u.): 0.00
# Theoretical density (g/cm³): 6.48
# Crystal system: trigonal
# Calculated formation energy (meV per atom): -648

=====

(6)
# ZrVAs3 PBE relaxed
data_ZrVAs3
_symmetry_space_group_name_H-M 'P 1'
_symmetry_Int_Tables_number 1
_symmetry_space_group_name_Hall 'P 1'
_cell_length_a 4.719
_cell_length_b 4.719
_cell_length_c 4.719
_cell_angle_alpha 90.00
_cell_angle_beta 90.00
_cell_angle_gamma 90.00
loop_
_atom_site_label
_atom_site_type_symbol
_atom_site_fract_x
_atom_site_fract_y
_atom_site_fract_z
Zr1 Zr 0.000 0.000 0.000
V1 V 0.500 0.500 0.500
As1 As 0.000 0.500 0.500
As2 As 0.500 0.000 0.500
As3 As 0.500 0.500 0.000
# D(E_F) (states/eV/atom): 1.217
# Energy above the most stable polymorph in this dataset (eV/f.u.): 0.00
# Theoretical density (g/cm³): 5.80
# Crystal system: cubic
# Calculated formation energy (meV per atom): 190

=====

(7)
# Zr2VAs2 PBE relaxed
data_Zr2VAs2
_symmetry_space_group_name_H-M 'P 1'
_symmetry_Int_Tables_number 1
_symmetry_space_group_name_Hall 'P 1'
_cell_length_a 6.878
_cell_length_b 6.878
_cell_length_c 3.800
_cell_angle_alpha 90.00
_cell_angle_beta 90.00
_cell_angle_gamma 90.00
loop_
_atom_site_label
_atom_site_type_symbol
_atom_site_fract_x
_atom_site_fract_y
_atom_site_fract_z
Zr1 Zr 0.161 0.339 0.000
Zr2 Zr 0.339 0.839 0.000
Zr3 Zr 0.661 0.161 0.000
Zr4 Zr 0.839 0.661 0.000
V1 V 0.000 0.000 0.500
V2 V 0.500 0.500 0.500
As1 As 0.147 0.647 0.500
As2 As 0.353 0.147 0.500
As3 As 0.647 0.853 0.500
As4 As 0.853 0.353 0.500
# D(E_F) (states/eV/atom): 0.581
# Theoretical density (g/cm³): 7.08
# Crystal system: tetragonal
# Calculated formation energy (meV per atom): -774

=====

(8)
# Zr3VAs PBE relaxed
data_Zr3VAs
_symmetry_space_group_name_H-M 'P 1'
_symmetry_Int_Tables_number 1
_symmetry_space_group_name_Hall 'P 1'
_cell_length_a 4.999
_cell_length_b 4.999
_cell_length_c 4.999
_cell_angle_alpha 90.00
_cell_angle_beta 90.00
_cell_angle_gamma 90.00
loop_
_atom_site_label
_atom_site_type_symbol
_atom_site_fract_x
_atom_site_fract_y
_atom_site_fract_z
Zr1 Zr 0.000 0.000 0.500
Zr2 Zr 0.000 0.500 0.000
Zr3 Zr 0.500 0.000 0.000
V1 V 0.500 0.500 0.500
As1 As 0.000 0.000 0.000
# D(E_F) (states/eV/atom): 1.351
# Theoretical density (g/cm³): 5.31
# Crystal system: cubic
# Calculated formation energy (meV per atom): 322

=====

(9)
# ZrVAs2 PBE relaxed
data_ZrVAs2
_symmetry_space_group_name_H-M 'P 1'
_symmetry_Int_Tables_number 1
_symmetry_space_group_name_Hall 'P 1'
_cell_length_a 7.330
_cell_length_b 7.330
_cell_length_c 7.330
_cell_angle_alpha 133.37
_cell_angle_beta 133.37
_cell_angle_gamma 68.07
loop_
_atom_site_label
_atom_site_type_symbol
_atom_site_fract_x
_atom_site_fract_y
_atom_site_fract_z
Zr1 Zr 0.000 0.000 0.000
Zr2 Zr 0.750 0.250 0.500
V1 V 0.250 0.750 0.500
V2 V 0.500 0.500 0.000
As1 As 0.150 0.625 0.025
As2 As 0.375 0.400 0.525
As3 As 0.600 0.125 0.975
As4 As 0.875 0.850 0.475
# D(E_F) (states/eV/atom): 0.857
# Energy above the most stable polymorph in this dataset (eV/f.u.): 2.04
# Theoretical density (g/cm³): 4.74
# Crystal system: tetragonal
# Calculated formation energy (meV per atom): -137

=====

(10)
# ZrV2As2 PBE relaxed
data_ZrV2As2
_symmetry_space_group_name_H-M 'P 1'
_symmetry_Int_Tables_number 1
_symmetry_space_group_name_Hall 'P 1'
_cell_length_a 6.769
_cell_length_b 6.769
_cell_length_c 6.769
_cell_angle_alpha 148.72
_cell_angle_beta 148.72
_cell_angle_gamma 44.83
loop_
_atom_site_label
_atom_site_type_symbol
_atom_site_fract_x
_atom_site_fract_y
_atom_site_fract_z
Zr1 Zr 0.000 0.000 0.000
V1 V 0.250 0.750 0.500
V2 V 0.750 0.250 0.500
As1 As 0.388 0.388 0.000
As2 As 0.612 0.612 0.000
# D(E_F) (states/eV/atom): 0.769
# Energy above the most stable polymorph in this dataset (eV/f.u.): 0.00
# Theoretical density (g/cm³): 6.83
# Crystal system: tetragonal
# Calculated formation energy (meV per atom): -494

=====

(11)
# ZrV2As2 PBE relaxed
data_ZrV2As2
_symmetry_space_group_name_H-M 'P 1'
_symmetry_Int_Tables_number 1
_symmetry_space_group_name_Hall 'P 1'
_cell_length_a 7.145
_cell_length_b 7.145
_cell_length_c 3.159
_cell_angle_alpha 90.00
_cell_angle_beta 90.00
_cell_angle_gamma 90.00
loop_
_atom_site_label
_atom_site_type_symbol
_atom_site_fract_x
_atom_site_fract_y
_atom_site_fract_z
Zr1 Zr 0.000 0.000 0.000
Zr2 Zr 0.500 0.500 0.000
V1 V 0.137 0.363 0.500
V2 V 0.363 0.863 0.500
V3 V 0.637 0.137 0.500
V4 V 0.863 0.637 0.500
As1 As 0.148 0.648 0.000
As2 As 0.352 0.148 0.000
As3 As 0.648 0.852 0.000
As4 As 0.852 0.352 0.000
# D(E_F) (states/eV/atom): 1.017
# Energy above the most stable polymorph in this dataset (eV/f.u.): 0.14
# Theoretical density (g/cm³): 7.06
# Crystal system: tetragonal
# Calculated formation energy (meV per atom): -466

=====

(12)
# ZrV2As2 PBE relaxed
data_ZrV2As2
_symmetry_space_group_name_H-M 'P 1'
_symmetry_Int_Tables_number 1
_symmetry_space_group_name_Hall 'P 1'
_cell_length_a 5.123
_cell_length_b 5.123
_cell_length_c 5.123
_cell_angle_alpha 126.04
_cell_angle_beta 126.04
_cell_angle_gamma 79.82
loop_
_atom_site_label
_atom_site_type_symbol
_atom_site_fract_x
_atom_site_fract_y
_atom_site_fract_z
Zr1 Zr 0.000 0.000 0.000
V1 V 0.376 0.376 0.000
V2 V 0.624 0.624 0.000
As1 As 0.250 0.750 0.500
As2 As 0.750 0.250 0.500
# D(E_F) (states/eV/atom): 0.593
# Energy above the most stable polymorph in this dataset (eV/f.u.): 0.83
# Theoretical density (g/cm³): 6.71
# Crystal system: tetragonal
# Calculated formation energy (meV per atom): -328